# 1
Computed, not measured: a relaxed structure of ErGe7Ir3 at the PBE level of DFT.

calculated density: 10.99 g/cm³
total magnetic moment: 0.000 μB per cell
crystal system: trigonal
DOS(E_F): 0.08 states/eV/atom
space-group type: R-3c (167)
energy: -6.2334 eV/atom

abc: 7.911 7.911 8.343
angles: 61.70 61.70 60.00
Element x y z (fractional)
Ir (0.930, 0.250, 0.250)
Ir (0.570, 0.930, 0.250)
Ir (0.430, 0.070, 0.750)
Ir (0.750, 0.430, 0.750)
Ir (0.070, 0.750, 0.750)
Ir (0.250, 0.570, 0.250)
Ge (0.332, 0.927, 0.591)
Ge (0.427, 0.832, 0.091)
Ge (0.168, 0.351, 0.909)
Ge (0.832, 0.649, 0.091)
Ge (0.073, 0.851, 0.409)
Ge (0.750, 0.750, 0.750)
Ge (0.668, 0.073, 0.409)
Ge (0.250, 0.250, 0.250)
Ge (0.927, 0.149, 0.591)
Ge (0.573, 0.168, 0.909)
Ge (0.149, 0.332, 0.591)
Ge (0.851, 0.668, 0.409)
Ge (0.649, 0.427, 0.091)
Ge (0.351, 0.573, 0.909)
Er (0.000, 0.000, 0.000)
Er (0.500, 0.500, 0.500)

***

# 2
Computed, not measured: a relaxed structure of ErGe2Ir4 at the PBE level of DFT.

calculated density: 15.31 g/cm³
total magnetic moment: 0.000 μB per cell
E above lowest polymorph: 22 meV/atom
crystal system: orthorhombic
DOS(E_F): 0.62 states/eV/atom
space-group type: Cmmm (65)
energy: -7.4523 eV/atom

abc: 4.059 4.116 7.317
angles: 106.33 90.00 90.00
Element x y z (fractional)
Ir (0.500, 0.179, 0.358)
Ir (0.500, 0.821, 0.642)
Ir (0.000, 0.683, 0.366)
Ir (0.000, 0.317, 0.634)
Ge (0.500, 0.587, 0.173)
Ge (0.500, 0.413, 0.827)
Er (0.000, 0.000, 0.000)

***

> Which of these has the highest calculated density?

ErGe2Ir4

***

Repeat the second record exactly.
Computed, not measured: a relaxed structure of ErGe2Ir4 at the PBE level of DFT.

calculated density: 15.31 g/cm³
total magnetic moment: 0.000 μB per cell
E above lowest polymorph: 22 meV/atom
crystal system: orthorhombic
DOS(E_F): 0.62 states/eV/atom
space-group type: Cmmm (65)
energy: -7.4523 eV/atom

abc: 4.059 4.116 7.317
angles: 106.33 90.00 90.00
Element x y z (fractional)
Ir (0.500, 0.179, 0.358)
Ir (0.500, 0.821, 0.642)
Ir (0.000, 0.683, 0.366)
Ir (0.000, 0.317, 0.634)
Ge (0.500, 0.587, 0.173)
Ge (0.500, 0.413, 0.827)
Er (0.000, 0.000, 0.000)